Material: Rb3TiS4
Method: DFT, PBE-GGA
State: optimized geometry

theoretical density = 2618 kg/m³
E_form (uncorrected) = -897 meV/atom

Cell and atoms, written as CIF:
```
data_Rb3TiS4
_chemical_formula_sum 'Rb3 Ti1 S4'
_space_group_name_H-M_alt 'P 1'
_space_group_IT_number 1
_cell_length_a 7.109
_cell_length_b 7.109
_cell_length_c 7.109
_cell_angle_alpha 112.57
_cell_angle_beta 112.57
_cell_angle_gamma 103.43
loop_
_space_group_symop_operation_xyz
'x,y,z'
loop_
_atom_site_label
_atom_site_type_symbol
_atom_site_fract_x
_atom_site_fract_y
_atom_site_fract_z
Rb1 Rb 0.000 0.000 0.000
Rb2 Rb 0.250 0.750 0.500
Rb3 Rb 0.750 0.250 0.500
Ti1 Ti 0.500 0.500 0.000
S1 S 0.293 0.293 0.586
S2 S 0.293 0.707 0.000
S3 S 0.707 0.293 0.000
S4 S 0.707 0.707 0.414
```

Material: RbTi3S
Method: DFT, PBE-GGA
State: optimized geometry

theoretical density = 4016 kg/m³
E_form (uncorrected) = 371 meV/atom

Cell and atoms, written as CIF:
```
data_RbTi3S
_chemical_formula_sum 'Rb1 Ti3 S1'
_space_group_name_H-M_alt 'P 1'
_space_group_IT_number 1
_cell_length_a 4.762
_cell_length_b 4.762
_cell_length_c 4.762
_cell_angle_alpha 90.00
_cell_angle_beta 90.00
_cell_angle_gamma 90.00
loop_
_space_group_symop_operation_xyz
'x,y,z'
loop_
_atom_site_label
_atom_site_type_symbol
_atom_site_fract_x
_atom_site_fract_y
_atom_site_fract_z
Rb1 Rb 0.000 0.000 0.000
Ti1 Ti 0.000 0.500 0.500
Ti2 Ti 0.500 0.000 0.500
Ti3 Ti 0.500 0.500 0.000
S1 S 0.500 0.500 0.500
```

Material: RbTiS4
Method: DFT, PBE-GGA
State: optimized geometry

theoretical density = 2492 kg/m³
E_form (uncorrected) = -897 meV/atom

Cell and atoms, written as CIF:
```
data_RbTiS4
_chemical_formula_sum 'Rb2 Ti2 S8'
_space_group_name_H-M_alt 'P 1'
_space_group_IT_number 1
_cell_length_a 6.241
_cell_length_b 7.835
_cell_length_c 8.556
_cell_angle_alpha 111.02
_cell_angle_beta 103.80
_cell_angle_gamma 105.74
loop_
_space_group_symop_operation_xyz
'x,y,z'
loop_
_atom_site_label
_atom_site_type_symbol
_atom_site_fract_x
_atom_site_fract_y
_atom_site_fract_z
Rb1 Rb 0.135 0.385 0.269
Rb2 Rb 0.865 0.615 0.731
Ti1 Ti 0.290 0.040 0.581
Ti2 Ti 0.710 0.960 0.419
S1 S 0.063 0.246 0.595
S2 S 0.306 0.103 0.898
S3 S 0.411 0.706 0.102
S4 S 0.469 0.151 0.405
S5 S 0.531 0.849 0.595
S6 S 0.589 0.294 0.898
S7 S 0.694 0.897 0.102
S8 S 0.937 0.754 0.405
```

Material: Rb5TiS4
Method: DFT, PBE-GGA
State: optimized geometry

theoretical density = 2588 kg/m³
E_form (uncorrected) = -1121 meV/atom

Cell and atoms, written as CIF:
```
data_Rb5TiS4
_chemical_formula_sum 'Rb10 Ti2 S8'
_space_group_name_H-M_alt 'P 1'
_space_group_IT_number 1
_cell_length_a 9.623
_cell_length_b 10.398
_cell_length_c 7.739
_cell_angle_alpha 90.00
_cell_angle_beta 90.00
_cell_angle_gamma 90.00
loop_
_space_group_symop_operation_xyz
'x,y,z'
loop_
_atom_site_label
_atom_site_type_symbol
_atom_site_fract_x
_atom_site_fract_y
_atom_site_fract_z
Rb1 Rb 0.000 0.062 0.233
Rb2 Rb 0.000 0.438 0.233
Rb3 Rb 0.000 0.562 0.767
Rb4 Rb 0.000 0.938 0.767
Rb5 Rb 0.250 0.250 0.653
Rb6 Rb 0.500 0.062 0.233
Rb7 Rb 0.500 0.438 0.233
Rb8 Rb 0.500 0.562 0.767
Rb9 Rb 0.500 0.938 0.767
Rb10 Rb 0.750 0.750 0.347
Ti1 Ti 0.250 0.750 0.305
Ti2 Ti 0.750 0.250 0.695
S1 S 0.052 0.750 0.133
S2 S 0.250 0.565 0.472
S3 S 0.250 0.935 0.472
S4 S 0.448 0.750 0.133
S5 S 0.552 0.250 0.867
S6 S 0.750 0.065 0.528
S7 S 0.750 0.435 0.528
S8 S 0.948 0.250 0.867
```

Material: RbTi3S
Method: DFT, PBE-GGA
State: optimized geometry

theoretical density = 4104 kg/m³
E_form (uncorrected) = 2177 meV/atom

Cell and atoms, written as CIF:
```
data_RbTi3S
_chemical_formula_sum 'Rb1 Ti3 S1'
_space_group_name_H-M_alt 'P 1'
_space_group_IT_number 1
_cell_length_a 4.728
_cell_length_b 4.728
_cell_length_c 4.728
_cell_angle_alpha 90.00
_cell_angle_beta 90.00
_cell_angle_gamma 90.00
loop_
_space_group_symop_operation_xyz
'x,y,z'
loop_
_atom_site_label
_atom_site_type_symbol
_atom_site_fract_x
_atom_site_fract_y
_atom_site_fract_z
Rb1 Rb 0.000 0.000 0.000
Ti1 Ti 0.000 0.000 0.500
Ti2 Ti 0.000 0.500 0.000
Ti3 Ti 0.500 0.000 0.000
S1 S 0.500 0.500 0.500
```

Material: Rb3TiS4
Method: DFT, PBE-GGA
State: optimized geometry

theoretical density = 2643 kg/m³
E_form (uncorrected) = -1162 meV/atom

Cell and atoms, written as CIF:
```
data_Rb3TiS4
_chemical_formula_sum 'Rb3 Ti1 S4'
_space_group_name_H-M_alt 'P 1'
_space_group_IT_number 1
_cell_length_a 8.131
_cell_length_b 8.131
_cell_length_c 8.131
_cell_angle_alpha 139.77
_cell_angle_beta 68.35
_cell_angle_gamma 127.27
loop_
_space_group_symop_operation_xyz
'x,y,z'
loop_
_atom_site_label
_atom_site_type_symbol
_atom_site_fract_x
_atom_site_fract_y
_atom_site_fract_z
Rb1 Rb 0.000 0.000 0.000
Rb2 Rb 0.508 0.222 0.286
Rb3 Rb 0.935 0.222 0.714
Ti1 Ti 0.342 0.842 0.500
S1 S 0.028 0.669 0.359
S2 S 0.310 0.669 0.641
S3 S 0.576 0.348 0.772
S4 S 0.576 0.803 0.228
```

Number 1: M_tot 0.87 Bohr magnetons per cell. Number 2: M_tot 0.00 Bohr magnetons per cell. Number 3: M_tot 2.03 Bohr magnetons per cell. Number 4: M_tot 1.48 Bohr magnetons per cell. Number 5: M_tot 1.99 Bohr magnetons per cell. Number 6: M_tot 0.00 Bohr magnetons per cell.